# 1
# CrCdBO2, relaxed, DFT PBE with a Hubbard U
# Total magnetic moment   0.000 μB/f.u.
# Uncorrected energy   -4.6826 eV per atom
# Volume   15.224 Å³ per atom
data_CrCdBO2
_symmetry_space_group_name_H-M 'P 4/m m m'
_symmetry_Int_Tables_number 123
_symmetry_space_group_name_Hall '-P 4 2'
_cell_length_a 3.567
_cell_length_b 3.567
_cell_length_c 5.983
_cell_angle_alpha 90.00
_cell_angle_beta 90.00
_cell_angle_gamma 90.00
loop_
_atom_site_label
_atom_site_fract_x
_atom_site_fract_y
_atom_site_fract_z
Cr1 0.000 0.000 0.000
Cd1 0.000 0.000 0.500
B1 0.500 0.500 0.500
O1 0.000 0.500 0.000

# 2
# CrCd2B2O6, relaxed, DFT PBE with a Hubbard U
# Total magnetic moment   2.807 μB/f.u.
# Uncorrected energy   -6.5121 eV per atom
# Volume   13.022 Å³ per atom
data_CrCd2B2O6
_symmetry_space_group_name_H-M 'P -3'
_symmetry_Int_Tables_number 147
_cell_length_a 4.9567
_cell_length_b 4.9567
_cell_length_c 6.7324
_cell_angle_alpha 90.00
_cell_angle_beta 90.00
_cell_angle_gamma 120.00
loop_
_symmetry_equiv_pos_as_xyz
'x,y,z'
'-x,-y,-z'
'-y,x-y,z'
'y,-x+y,-z'
'-x+y,-x,z'
'x-y,x,-z'
loop_
_atom_site_label
_atom_site_fract_x
_atom_site_fract_y
_atom_site_fract_z
Cr1 0.0000 0.0000 0.0000
Cd1 0.3333 0.6667 0.6710
B1 0.3333 0.6667 0.1711
O1 0.0847 0.3646 0.1774

Question: Which formula does entry 1 have?
Answer: CrCdBO2

Question: uncorrected energy of number 2 (CrCd2B2O6)?
Answer: -6.5121 eV per atom

Question: The lowest uncorrected energy belongs to which entry?
Answer: CrCd2B2O6